Entry 1:
The following is a GGA-PBE calculation of a relaxed structure of BePt2Pb, from Alexandria via LeMat-Bulk.

Computed properties:
- Crystal system: monoclinic
- Energy of formation from the pure elements: -1.33 eV/f.u.
- Volume: 17.4 A^3/atom
- Offset from the most stable computed form: 0.000 eV per atom
- Total DFT energy (no corrections): -41.7 eV/cell

Unit cell a=6.5621 b=3.7961 c=6.0063 alpha=90.00 beta=111.39 gamma=90.00
Last column: nearest neighbours and their distance in Å.
Space group Cm (No. 8)
One atom of each set of equivalent atoms:
1 Be 0.0000 0.0000 0.0000 (multiplicity 2)  6 Pt 2.33-2.39
2 Pt 0.1096 0.5000 0.8281 (multiplicity 2)  3 Be 2.39
3 Pt 0.3818 0.0000 0.1458 (multiplicity 2)  3 Be 2.33-2.34
4 Pb 0.3300 0.5000 0.4870 (multiplicity 2)  1 Be 2.87, 6 Pt 2.90-2.91

Entry 2:
The following is a GGA-PBE calculation of a relaxed structure of BePtPb, from Alexandria via LeMat-Bulk.

Computed properties:
- Crystal system: hexagonal
- Energy of formation from the pure elements: -0.39 eV/f.u.
- Volume: 18.7 A^3/atom
- Offset from the most stable computed form: 0.001 eV per atom
- Total DFT energy (no corrections): -13.9 eV/cell

Unit cell a=3.9230 b=3.9230 c=4.2174 alpha=90.00 beta=90.00 gamma=120.00
Last column: nearest neighbours and their distance in Å.
Space group P-6m2 (No. 187)
One atom of each set of equivalent atoms:
1 Be 0.0000 0.0000 0.0000 (multiplicity 1)  3 Pt 2.26
2 Pt 0.6667 0.3333 0.0000 (multiplicity 1)  3 Be 2.26
3 Pb 0.3333 0.6667 0.5000 (multiplicity 1)  6 Be 3.09, 6 Pt 3.09

Entry 3:
The following is a GGA-PBE calculation of a relaxed structure of BePtPb, from Alexandria via LeMat-Bulk.

Computed properties:
- Crystal system: orthorhombic
- Energy of formation from the pure elements: -0.40 eV/f.u.
- Volume: 18.7 A^3/atom
- Offset from the most stable computed form: 0.000 eV per atom
- Total DFT energy (no corrections): -27.7 eV/cell

Unit cell a=2.9741 b=3.3185 c=11.3949 alpha=90.00 beta=90.00 gamma=90.00
Last column: nearest neighbours and their distance in Å.
Space group Imm2 (No. 44)
One atom of each set of equivalent atoms:
1 Be 0.0000 0.0000 0.0000 (multiplicity 2)  4 Pt 2.32
2 Pt 0.0000 0.0000 0.5552 (multiplicity 2)  4 Be 2.32
3 Pb 0.0000 0.0000 0.2703 (multiplicity 2)  4 Pb 2.97-3.32, 1 Be 3.08, 5 Pt 3.25-3.31

Entry 4:
The following is a GGA-PBE calculation of a relaxed structure of BePtPb3, from Alexandria via LeMat-Bulk.

Computed properties:
- Crystal system: cubic
- Energy of formation from the pure elements: 2.50 eV/f.u.
- Volume: 24.5 A^3/atom
- Offset from the most stable computed form: 0.000 eV per atom
- Total DFT energy (no corrections): -18.4 eV/cell

Unit cell a=4.9659 b=4.9659 c=4.9659 alpha=90.00 beta=90.00 gamma=90.00
Last column: nearest neighbours and their distance in Å.
Space group Pm-3m (No. 221)
One atom of each set of equivalent atoms:
1 Be 0.0000 0.0000 0.0000 (multiplicity 1)  6 Pb 2.48
2 Pt 0.5000 0.5000 0.5000 (multiplicity 1)  12 Pb 3.51
3 Pb 0.0000 0.0000 0.5000 (multiplicity 3)  2 Be 2.48

Entry 5:
The following is a GGA-PBE calculation of a relaxed structure of BePt2Pb, from Alexandria via LeMat-Bulk.

Computed properties:
- Crystal system: orthorhombic
- Energy of formation from the pure elements: -0.80 eV/f.u.
- Volume: 18.6 A^3/atom
- Offset from the most stable computed form: 0.133 eV per atom
- Total DFT energy (no corrections): -20.3 eV/cell

Unit cell a=3.9234 b=4.0802 c=4.6463 alpha=90.00 beta=90.00 gamma=90.00
Last column: nearest neighbours and their distance in Å.
Space group Pmm2 (No. 25)
One atom of each set of equivalent atoms:
1 Be 0.0000 0.0000 0.0000 (multiplicity 1)  4 Pt 2.23
2 Pt 0.0000 0.5000 0.1940 (multiplicity 1)  2 Be 2.23
3 Pt 0.5000 0.0000 0.2272 (multiplicity 1)  2 Be 2.23
4 Pb 0.5000 0.5000 0.6839 (multiplicity 1)  8 Pt 2.94-3.25, 4 Be 3.19

Entry 6:
The following is a GGA-PBE calculation of a relaxed structure of BePt2Pb, from Alexandria via LeMat-Bulk.

Computed properties:
- Crystal system: orthorhombic
- Energy of formation from the pure elements: -0.63 eV/f.u.
- Volume: 17.3 A^3/atom
- Offset from the most stable computed form: 0.176 eV per atom
- Total DFT energy (no corrections): -40.3 eV/cell

Unit cell a=3.4640 b=5.2492 c=7.6182 alpha=90.00 beta=90.00 gamma=90.00
Last column: nearest neighbours and their distance in Å.
Space group Immm (No. 71)
One atom of each set of equivalent atoms:
1 Be 0.0000 0.0000 0.0000 (multiplicity 2)  4 Pt 2.25
2 Pt 0.0000 0.5000 0.3107 (multiplicity 4)  2 Be 2.25
3 Pb 0.0000 0.0000 0.5000 (multiplicity 2)  8 Pt 2.93-2.99, 4 Be 3.14

Entry 7:
The following is a GGA-PBE calculation of a relaxed structure of BePt2Pb, from Alexandria via LeMat-Bulk.

Computed properties:
- Crystal system: tetragonal
- Energy of formation from the pure elements: -0.06 eV/f.u.
- Volume: 20.8 A^3/atom
- Offset from the most stable computed form: 0.319 eV per atom
- Total DFT energy (no corrections): -78.3 eV/cell

Unit cell a=4.8868 b=4.8868 c=13.9542 alpha=90.00 beta=90.00 gamma=90.00
Last column: nearest neighbours and their distance in Å.
Space group I-42d (No. 122)
One atom of each set of equivalent atoms:
1 Be 0.0000 0.0000 0.0000 (multiplicity 4)  4 Pt 2.21
2 Pt 0.1238 0.2500 0.1250 (multiplicity 8)  2 Be 2.21
3 Pb 0.0000 0.0000 0.5000 (multiplicity 4)  4 Pt 2.81

Entry 8:
The following is a GGA-PBE calculation of a relaxed structure of BePt2Pb, from Alexandria via LeMat-Bulk.

Computed properties:
- Crystal system: trigonal
- Energy of formation from the pure elements: 0.44 eV/f.u.
- Volume: 17.4 A^3/atom
- Offset from the most stable computed form: 0.443 eV per atom
- Total DFT energy (no corrections): -57.2 eV/cell

Unit cell a=3.0898 b=3.0898 c=25.2168 alpha=90.00 beta=90.00 gamma=120.00
Last column: nearest neighbours and their distance in Å.
Space group R3m (No. 160, hexagonal axes)
One atom of each set of equivalent atoms:
1 Be 0.0000 0.0000 0.0000 (multiplicity 3)  3 Pt 2.26
2 Pt 0.0000 0.0000 0.2783 (multiplicity 3)  3 Be 2.26
3 Pt 0.0000 0.0000 0.5213 (multiplicity 3)  9 Pt 2.89-3.09, 3 Pb 2.94
4 Pb 0.0000 0.0000 0.7621 (multiplicity 3)  3 Pt 2.94, 3 Be 2.99, 6 Pb 3.09

Entry 9:
The following is a GGA-PBE calculation of a relaxed structure of BePt2Pb, from Alexandria via LeMat-Bulk.

Computed properties:
- Crystal system: tetragonal
- Energy of formation from the pure elements: 0.20 eV/f.u.
- Volume: 16.6 A^3/atom
- Offset from the most stable computed form: 0.384 eV per atom
- Total DFT energy (no corrections): -38.6 eV/cell

Unit cell a=4.0957 b=4.0957 c=7.8996 alpha=90.00 beta=90.00 gamma=90.00
Last column: nearest neighbours and their distance in Å.
Space group I4/mmm (No. 139)
One atom of each set of equivalent atoms:
1 Be 0.0000 0.0000 0.0000 (multiplicity 2)  8 Pt 2.84, 4 Pb 2.90
2 Pt 0.0000 0.5000 0.2500 (multiplicity 4)  4 Pb 2.84, 4 Be 2.84, 4 Pt 2.90
3 Pb 0.0000 0.0000 0.5000 (multiplicity 2)  8 Pt 2.84, 4 Be 2.90

Entry 10:
The following is a GGA-PBE calculation of a relaxed structure of BePt2Pb, from Alexandria via LeMat-Bulk.

Computed properties:
- Crystal system: tetragonal
- Energy of formation from the pure elements: 0.11 eV/f.u.
- Volume: 16.5 A^3/atom
- Offset from the most stable computed form: 0.362 eV per atom
- Total DFT energy (no corrections): -38.8 eV/cell

Unit cell a=3.9155 b=3.9155 c=8.6009 alpha=90.00 beta=90.00 gamma=90.00
Last column: nearest neighbours and their distance in Å.
Space group I-4m2 (No. 119)
One atom of each set of equivalent atoms:
1 Be 0.0000 0.0000 0.0000 (multiplicity 2)  8 Pt 2.77-2.91, 4 Pb 2.91
2 Pt 0.0000 0.0000 0.5000 (multiplicity 2)  4 Be 2.77, 4 Pb 2.91, 4 Pt 2.91
3 Pt 0.0000 0.5000 0.2500 (multiplicity 2)  4 Pb 2.77, 4 Be 2.91, 4 Pt 2.91
4 Pb 0.0000 0.5000 0.7500 (multiplicity 2)  8 Pt 2.77-2.91, 4 Be 2.91

Entry 11:
The following is a GGA-PBE calculation of a relaxed structure of BePt2Pb, from Alexandria via LeMat-Bulk.

Computed properties:
- Crystal system: cubic
- Energy of formation from the pure elements: 0.25 eV/f.u.
- Volume: 16.7 A^3/atom
- Offset from the most stable computed form: 0.396 eV per atom
- Total DFT energy (no corrections): -77.1 eV/cell

Unit cell a=6.4442 b=6.4442 c=6.4442 alpha=90.00 beta=90.00 gamma=90.00
Last column: nearest neighbours and their distance in Å.
Space group Fm-3m (No. 225)
One atom of each set of equivalent atoms:
1 Be 0.0000 0.0000 0.0000 (multiplicity 4)  8 Pt 2.79
2 Pt 0.2500 0.2500 0.2500 (multiplicity 8)  4 Pb 2.79, 4 Be 2.79
3 Pb 0.0000 0.0000 0.5000 (multiplicity 4)  8 Pt 2.79

Entry 12:
The following is a GGA-PBE calculation of a relaxed structure of BePtPb3, from Alexandria via LeMat-Bulk.

Computed properties:
- Crystal system: cubic
- Energy of formation from the pure elements: 3.34 eV/f.u.
- Volume: 31.6 A^3/atom
- Offset from the most stable computed form: 0.169 eV per atom
- Total DFT energy (no corrections): -17.6 eV/cell

Unit cell a=5.4071 b=5.4071 c=5.4071 alpha=90.00 beta=90.00 gamma=90.00
Last column: nearest neighbours and their distance in Å.
Space group Pm-3m (No. 221)
One atom of each set of equivalent atoms:
1 Be 0.0000 0.0000 0.0000 (multiplicity 1)  12 Pb 3.82
2 Pt 0.5000 0.5000 0.5000 (multiplicity 1)  6 Pb 2.70
3 Pb 0.0000 0.5000 0.5000 (multiplicity 3)  2 Pt 2.70